Entry 1:
MgSc3Br after structural relaxation. Source: the Alexandria database, functional GGA-PBE.

a = 5.3423 Å, b = 5.3423 Å, c = 5.3423 Å
α = 90.00°, β = 90.00°, γ = 90.00°
Closest atoms and distances in Å follow each position.
Fractional coordinates of all 5 atoms:
Sc 0.0000 0.5000 0.0000  2 Mg 2.67
Sc 0.0000 0.0000 0.5000  2 Mg 2.67
Sc 0.5000 0.0000 0.0000  2 Mg 2.67
Mg 0.0000 0.0000 0.0000  6 Sc 2.67
Br 0.5000 0.5000 0.5000  12 Sc 3.78

Calculated volume   152 Å³ per cell
Energy   -3.857 eV per atom
SG   Pm-3m (221)
Total magnetization   0.0 μB/f.u.



Entry 2:
NaNp2CdO8 after structural relaxation. Source: the Alexandria database, functional GGA-PBE.

a = 5.3637 Å, b = 5.3637 Å, c = 6.4423 Å
α = 114.60°, β = 114.60°, γ = 90.00°
Closest atoms and distances in Å follow each position.
Fractional coordinates of all 12 atoms:
Na 0.7500 0.2500 0.5000  8 O 2.36-2.47
Np 0.5000 0.5000 0.0000  4 O 2.08
Np 0.2500 0.7500 0.5000  4 O 2.07
Cd 0.0000 0.0000 0.0000  8 O 2.33-2.46
O 0.8478 0.8296 0.2150  1 Np 2.08, 1 Cd 2.33
O 0.3672 0.3854 0.2150  1 Np 2.08, 1 Cd 2.33
O 0.5770 0.6218 0.7175  1 Np 2.07
O 0.1405 0.0958 0.7175  1 Np 2.07
O 0.9042 0.4230 0.2825  1 Np 2.07
O 0.3782 0.8595 0.2825  1 Np 2.07
O 0.1704 0.6328 0.7850  1 Np 2.08, 1 Cd 2.33
O 0.6146 0.1522 0.7850  1 Np 2.08, 1 Cd 2.33

Calculated volume   150 Å³ per cell
Energy   -7.766 eV per atom
SG   I-4 (82)
Total magnetization   1.0 μB/f.u.